Compound: Ca2CdGa4Cu3
Source: Alexandria
Functional: PBE
Structure: relaxed

abc: 4.165 4.165 11.019
angles: 90.00 90.00 90.00
Space group P-4m2 (No. 115)
Inequivalent atoms, fractional coordinates:
Ca (0.000, 0.500, 0.238)
Cd (0.000, 0.000, 0.500)
Ga (0.000, 0.000, 0.000)
Ga (0.000, 0.500, 0.652)
Ga (0.500, 0.500, 0.000)
Cu (0.000, 0.500, 0.871)
Cu (0.500, 0.500, 0.500)

Properties
final energy	-32.35	eV per cell
energy of formation from the pure elements	-0.30	eV per atom



Compound: Ca2CdCu4Ge3
Source: Alexandria
Functional: PBE
Structure: relaxed

abc: 4.242 4.242 10.302
angles: 90.00 90.00 90.00
Space group P-4m2 (No. 115)
Inequivalent atoms, fractional coordinates:
Ca (0.000, 0.500, 0.236)
Cd (0.000, 0.000, 0.500)
Cu (0.000, 0.000, 0.000)
Cu (0.000, 0.500, 0.645)
Cu (0.500, 0.500, 0.000)
Ge (0.000, 0.500, 0.875)
Ge (0.500, 0.500, 0.500)

Properties
final energy	-38.09	eV per cell
energy of formation from the pure elements	-0.29	eV per atom



Compound: Ca2CdCu3Ge4
Source: Alexandria
Functional: PBE
Structure: relaxed

abc: 4.236 4.236 10.638
angles: 90.00 90.00 90.00
Space group P-4m2 (No. 115)
Inequivalent atoms, fractional coordinates:
Ca (0.000, 0.500, 0.242)
Cd (0.000, 0.000, 0.500)
Cu (0.000, 0.500, 0.874)
Cu (0.500, 0.500, 0.500)
Ge (0.000, 0.000, 0.000)
Ge (0.000, 0.500, 0.650)
Ge (0.500, 0.500, 0.000)

Properties
final energy	-38.80	eV per cell
energy of formation from the pure elements	-0.31	eV per atom



Compound: CaCdCu2Hg
Source: Alexandria
Functional: PBE
Structure: relaxed

abc: 5.446 5.446 6.336
angles: 90.00 90.00 90.00
Space group P4/mmm (No. 123)
Inequivalent atoms, fractional coordinates:
Ca (0.000, 0.000, 0.000)
Cd (0.000, 0.000, 0.500)
Cu (0.000, 0.500, 0.000)
Hg (0.500, 0.500, 0.500)

Properties
final energy	-7.42	eV per cell
energy of formation from the pure elements	0.80	eV per atom



Compound: CaCdCuHg2
Source: Alexandria
Functional: PBE
Structure: relaxed

abc: 5.982 5.982 6.121
angles: 90.00 90.00 90.00
Space group P4/mmm (No. 123)
Inequivalent atoms, fractional coordinates:
Ca (0.000, 0.000, 0.000)
Cd (0.000, 0.000, 0.500)
Cu (0.500, 0.500, 0.500)
Hg (0.000, 0.500, 0.000)

Properties
final energy	-4.23	eV per cell
energy of formation from the pure elements	0.68	eV per atom



Compound: Ca2Cd6InCu
Source: Alexandria
Functional: PBE
Structure: relaxed

abc: 7.0602 7.0602 36.3122
angles: 90.00 90.00 120.00
Space group R-3m (No. 166, hexagonal axes)
Inequivalent atoms, fractional coordinates:
Ca (0.0000, 0.0000, 0.1040)
Ca (0.0000, 0.0000, 0.2785)
Cd (0.0476, 0.5238, 0.3046)
Cd (0.0635, 0.5318, 0.8608)
In (0.0000, 0.0000, 0.4262)
Cu (0.0000, 0.0000, 0.0000)
Cu (0.0000, 0.0000, 0.5000)

Properties
final energy	-104.04	eV per cell
energy of formation from the pure elements	-0.10	eV per atom



Compound: KCaCd2Cu
Source: Alexandria
Functional: PBE
Structure: relaxed

abc: 5.253 5.253 5.431
angles: 90.00 90.00 90.00
Space group P4/mmm (No. 123)
Inequivalent atoms, fractional coordinates:
K (0.000, 0.000, 0.000)
Ca (0.500, 0.500, 0.000)
Cd (0.000, 0.500, 0.500)
Cu (0.500, 0.500, 0.500)

Properties
final energy	-8.94	eV per cell
energy of formation from the pure elements	0.02	eV per atom



Compound: Li2CaCdCu
Source: Alexandria
Functional: PBE
Structure: relaxed

abc: 4.785 4.785 5.046
angles: 90.00 90.00 90.00
Space group P4/mmm (No. 123)
Inequivalent atoms, fractional coordinates:
Li (0.000, 0.500, 0.000)
Ca (0.000, 0.000, 0.500)
Cd (0.500, 0.500, 0.500)
Cu (0.500, 0.500, 0.000)

Properties
final energy	-10.89	eV per cell
energy of formation from the pure elements	-0.01	eV per atom



Compound: LiCaCd2Cu
Source: Alexandria
Functional: PBE
Structure: relaxed

abc: 5.035 5.035 4.722
angles: 90.00 90.00 90.00
Space group P4/mmm (No. 123)
Inequivalent atoms, fractional coordinates:
Li (0.000, 0.000, 0.000)
Ca (0.500, 0.500, 0.000)
Cd (0.000, 0.500, 0.500)
Cu (0.000, 0.000, 0.500)

Properties
final energy	-10.13	eV per cell
energy of formation from the pure elements	-0.06	eV per atom



Compound: LiCa2CdCu
Source: Alexandria
Functional: PBE
Structure: relaxed

abc: 5.564 5.564 4.984
angles: 90.00 90.00 90.00
Space group P4/mmm (No. 123)
Inequivalent atoms, fractional coordinates:
Li (0.000, 0.000, 0.000)
Ca (0.000, 0.500, 0.500)
Cd (0.500, 0.500, 0.000)
Cu (0.500, 0.500, 0.500)

Properties
polymorph energy (0 for the lowest one)	19	meV per atom
final energy	-10.84	eV per cell
energy of formation from the pure elements	0.02	eV per atom



Compound: LiCa2CdCu
Source: Alexandria
Functional: PBE
Structure: relaxed

abc: 5.559 5.559 4.661
angles: 90.00 90.00 90.00
Space group P4/mmm (No. 123)
Inequivalent atoms, fractional coordinates:
Li (0.000, 0.000, 0.000)
Ca (0.000, 0.500, 0.500)
Cd (0.500, 0.500, 0.000)
Cu (0.000, 0.000, 0.500)

Properties
polymorph energy (0 for the lowest one)	0	meV per atom
final energy	-10.94	eV per cell
energy of formation from the pure elements	0.00	eV per atom



Compound: CaLuCdCu
Source: Alexandria
Functional: PBE
Structure: relaxed

abc: 7.220 7.220 7.220
angles: 90.00 90.00 90.00
Space group F-43m (No. 216)
Inequivalent atoms, fractional coordinates:
Ca (0.000, 0.000, 0.000)
Lu (0.000, 0.000, 0.500)
Cd (0.250, 0.250, 0.750)
Cu (0.250, 0.250, 0.250)

Properties
final energy	-48.87	eV per cell
energy of formation from the pure elements	-0.17	eV per atom



Compound: Ca2MgCdCu
Source: Alexandria
Functional: PBE
Structure: relaxed

abc: 5.527 5.527 4.906
angles: 90.00 90.00 90.00
Space group P4/mmm (No. 123)
Inequivalent atoms, fractional coordinates:
Ca (0.000, 0.500, 0.000)
Mg (0.000, 0.000, 0.500)
Cd (0.500, 0.500, 0.500)
Cu (0.000, 0.000, 0.000)

Properties
final energy	-10.73	eV per cell
energy of formation from the pure elements	-0.02	eV per atom



Compound: CaMg2CdCu
Source: Alexandria
Functional: PBE
Structure: relaxed

abc: 4.955 4.955 5.045
angles: 90.00 90.00 90.00
Space group P4/mmm (No. 123)
Inequivalent atoms, fractional coordinates:
Ca (0.000, 0.000, 0.000)
Mg (0.000, 0.500, 0.500)
Cd (0.500, 0.500, 0.000)
Cu (0.500, 0.500, 0.500)

Properties
final energy	-10.36	eV per cell
energy of formation from the pure elements	-0.03	eV per atom



Compound: Ca2CdCuMo
Source: Alexandria
Functional: PBE
Structure: relaxed

abc: 5.759 5.759 5.217
angles: 90.00 90.00 90.00
Space group P4/mmm (No. 123)
Inequivalent atoms, fractional coordinates:
Ca (0.000, 0.500, 0.000)
Cd (0.000, 0.000, 0.000)
Cu (0.500, 0.500, 0.500)
Mo (0.000, 0.000, 0.500)

Properties
final energy	-14.35	eV per cell
energy of formation from the pure elements	1.10	eV per atom



Compound: NaCaCdCu2
Source: Alexandria
Functional: PBE
Structure: relaxed

abc: 4.992 4.992 5.179
angles: 90.00 90.00 90.00
Space group P4/mmm (No. 123)
Inequivalent atoms, fractional coordinates:
Na (0.000, 0.000, 0.000)
Ca (0.500, 0.500, 0.000)
Cd (0.000, 0.000, 0.500)
Cu (0.000, 0.500, 0.500)

Properties
final energy	-10.65	eV per cell
energy of formation from the pure elements	0.36	eV per atom



Compound: NaCa2CdCu
Source: Alexandria
Functional: PBE
Structure: relaxed

abc: 5.635 5.635 5.047
angles: 90.00 90.00 90.00
Space group P4/mmm (No. 123)
Inequivalent atoms, fractional coordinates:
Na (0.000, 0.000, 0.000)
Ca (0.000, 0.500, 0.500)
Cd (0.500, 0.500, 0.000)
Cu (0.500, 0.500, 0.500)

Properties
final energy	-10.40	eV per cell
energy of formation from the pure elements	-0.01	eV per atom



Compound: CaNdCdCu
Source: Alexandria
Functional: PBE
Structure: relaxed

abc: 7.434 7.434 7.434
angles: 90.00 90.00 90.00
Space group F-43m (No. 216)
Inequivalent atoms, fractional coordinates:
Ca (0.000, 0.000, 0.000)
Nd (0.000, 0.000, 0.500)
Cd (0.250, 0.250, 0.250)
Cu (0.250, 0.250, 0.750)

Properties
final energy	-50.21	eV per cell
energy of formation from the pure elements	-0.19	eV per atom



Compound: CaCdCuNi2
Source: Alexandria
Functional: PBE
Structure: relaxed

abc: 4.605 4.605 4.852
angles: 90.00 90.00 90.00
Space group P4/mmm (No. 123)
Inequivalent atoms, fractional coordinates:
Ca (0.000, 0.000, 0.000)
Cd (0.500, 0.500, 0.500)
Cu (0.000, 0.000, 0.500)
Ni (0.000, 0.500, 0.000)

Properties
final energy	-12.54	eV per cell
energy of formation from the pure elements	1.21	eV per atom



Compound: CaCdCuNi
Source: Alexandria
Functional: PBE
Structure: relaxed

abc: 6.612 6.612 6.612
angles: 90.00 90.00 90.00
Space group F-43m (No. 216)
Inequivalent atoms, fractional coordinates:
Ca (0.000, 0.000, 0.000)
Cd (0.000, 0.000, 0.500)
Cu (0.250, 0.250, 0.250)
Ni (0.250, 0.250, 0.750)

Properties
final energy	-51.31	eV per cell
energy of formation from the pure elements	-0.01	eV per atom